(A)
# PBE-GGA SmPBr, relaxed
data_SmPBr
_chemical_formula_sum 'Sm2 P2 Br2'
_space_group_name_H-M_alt 'P 1'
_space_group_IT_number 1
_space_group_name_Hall 'P 1'
_cell_length_a 4.000
_cell_length_b 5.103
_cell_length_c 10.719
_cell_angle_alpha 77.75
_cell_angle_beta 79.89
_cell_angle_gamma 68.07
loop_
_atom_site_label
_atom_site_fract_x
_atom_site_fract_y
_atom_site_fract_z
Sm1 0.178 0.293 0.357
Sm2 0.822 0.707 0.643
P1 0.481 0.687 0.425
P2 0.519 0.313 0.575
Br1 0.197 0.797 0.831
Br2 0.803 0.203 0.169
# SG: No. 2

=====

(B)
# PBE-GGA SmPBr, relaxed
data_SmPBr
_chemical_formula_sum 'Sm2 P2 Br2'
_space_group_name_H-M_alt 'P 1'
_space_group_IT_number 1
_space_group_name_Hall 'P 1'
_cell_length_a 7.874
_cell_length_b 7.874
_cell_length_c 3.937
_cell_angle_alpha 104.42
_cell_angle_beta 104.42
_cell_angle_gamma 126.64
loop_
_atom_site_label
_atom_site_fract_x
_atom_site_fract_y
_atom_site_fract_z
Sm1 0.127 0.873 0.000
Sm2 0.873 0.127 0.000
P1 0.190 0.190 0.711
P2 0.810 0.810 0.289
Br1 0.292 0.708 0.500
Br2 0.708 0.292 0.500
# SG: No. 12
# N(E_F) in states/eV per atom: 0.011

=====

Tell me which of them is the least stable. Sure, it is (B).

=====

(A)
# PBE-GGA SnP2Br, relaxed
data_SnP2Br
_chemical_formula_sum 'Sn2 P4 Br2'
_space_group_name_H-M_alt 'P 1'
_space_group_IT_number 1
_space_group_name_Hall 'P 1'
_cell_length_a 6.849
_cell_length_b 6.849
_cell_length_c 6.849
_cell_angle_alpha 120.01
_cell_angle_beta 120.01
_cell_angle_gamma 89.98
loop_
_atom_site_label
_atom_site_fract_x
_atom_site_fract_y
_atom_site_fract_z
Sn1 0.000 0.000 0.000
Sn2 0.750 0.250 0.500
P1 0.094 0.625 0.969
P2 0.375 0.344 0.469
P3 0.656 0.125 0.031
P4 0.875 0.906 0.531
Br1 0.250 0.750 0.500
Br2 0.500 0.500 0.000
# SG: No. 122
# N(E_F) in states/eV per atom: 1.285

=====

(B)
# PBE-GGA SnP2Br, relaxed
data_SnP2Br
_chemical_formula_sum 'Sn1 P2 Br1'
_space_group_name_H-M_alt 'P 1'
_space_group_IT_number 1
_space_group_name_Hall 'P 1'
_cell_length_a 4.849
_cell_length_b 4.849
_cell_length_c 4.849
_cell_angle_alpha 60.00
_cell_angle_beta 60.00
_cell_angle_gamma 60.00
loop_
_atom_site_label
_atom_site_fract_x
_atom_site_fract_y
_atom_site_fract_z
Sn1 0.000 0.000 0.000
P1 0.250 0.250 0.250
P2 0.750 0.750 0.750
Br1 0.500 0.500 0.500
# SG: No. 225
# N(E_F) in states/eV per atom: 0.606

=====

Tell me which of them is the least stable. Sure, it is (B).

=====

(A)
# PBE-GGA SnPBr2, relaxed
data_SnPBr2
_chemical_formula_sum 'Sn1 P1 Br2'
_space_group_name_H-M_alt 'P 1'
_space_group_IT_number 1
_space_group_name_Hall 'P 1'
_cell_length_a 10.141
_cell_length_b 10.141
_cell_length_c 10.141
_cell_angle_alpha 19.85
_cell_angle_beta 19.85
_cell_angle_gamma 19.85
loop_
_atom_site_label
_atom_site_fract_x
_atom_site_fract_y
_atom_site_fract_z
Sn1 0.000 0.000 0.000
P1 0.500 0.500 0.500
Br1 0.417 0.417 0.417
Br2 0.583 0.583 0.583
# SG: No. 166
# N(E_F) in states/eV per atom: 0.376

=====

(B)
# PBE-GGA SnPBr2, relaxed
data_SnPBr2
_chemical_formula_sum 'Sn1 P1 Br2'
_space_group_name_H-M_alt 'P 1'
_space_group_IT_number 1
_space_group_name_Hall 'P 1'
_cell_length_a 10.134
_cell_length_b 10.134
_cell_length_c 10.134
_cell_angle_alpha 19.62
_cell_angle_beta 19.62
_cell_angle_gamma 19.62
loop_
_atom_site_label
_atom_site_fract_x
_atom_site_fract_y
_atom_site_fract_z
Sn1 0.000 0.000 0.000
P1 0.500 0.500 0.500
Br1 0.097 0.097 0.097
Br2 0.903 0.903 0.903
# SG: No. 166
# N(E_F) in states/eV per atom: 0.513

=====

Tell me which of them is the least stable. Sure, it is (B).

=====

(A)
# PBE-GGA SnPBr2, relaxed
data_SnPBr2
_chemical_formula_sum 'Sn2 P2 Br4'
_space_group_name_H-M_alt 'P 1'
_space_group_IT_number 1
_space_group_name_Hall 'P 1'
_cell_length_a 10.172
_cell_length_b 10.172
_cell_length_c 10.172
_cell_angle_alpha 152.87
_cell_angle_beta 152.87
_cell_angle_gamma 38.75
loop_
_atom_site_label
_atom_site_fract_x
_atom_site_fract_y
_atom_site_fract_z
Sn1 0.000 0.000 0.000
Sn2 0.750 0.250 0.500
P1 0.250 0.750 0.500
P2 0.500 0.500 0.000
Br1 0.145 0.625 0.020
Br2 0.375 0.395 0.520
Br3 0.605 0.125 0.980
Br4 0.875 0.855 0.480
# SG: No. 122
# N(E_F) in states/eV per atom: 0.567

=====

(B)
# PBE-GGA SnPBr2, relaxed
data_SnPBr2
_chemical_formula_sum 'Sn1 P1 Br2'
_space_group_name_H-M_alt 'P 1'
_space_group_IT_number 1
_space_group_name_Hall 'P 1'
_cell_length_a 5.284
_cell_length_b 5.284
_cell_length_c 5.284
_cell_angle_alpha 60.00
_cell_angle_beta 60.00
_cell_angle_gamma 60.00
loop_
_atom_site_label
_atom_site_fract_x
_atom_site_fract_y
_atom_site_fract_z
Sn1 0.000 0.000 0.000
P1 0.500 0.500 0.500
Br1 0.250 0.250 0.250
Br2 0.750 0.750 0.750
# SG: No. 225
# N(E_F) in states/eV per atom: 0.681

=====

Tell me which of them is the least stable. Sure, it is (B).

=====

(A)
# PBE-GGA Sr2P2Br, relaxed
data_Sr2P2Br
_chemical_formula_sum 'Sr2 P2 Br1'
_space_group_name_H-M_alt 'P 1'
_space_group_IT_number 1
_space_group_name_Hall 'P 1'
_cell_length_a 8.903
_cell_length_b 8.903
_cell_length_c 8.903
_cell_angle_alpha 153.45
_cell_angle_beta 153.45
_cell_angle_gamma 37.90
loop_
_atom_site_label
_atom_site_fract_x
_atom_site_fract_y
_atom_site_fract_z
Sr1 0.125 0.125 0.000
Sr2 0.875 0.875 0.000
P1 0.250 0.750 0.500
P2 0.750 0.250 0.500
Br1 0.500 0.500 0.000
# SG: No. 139
# N(E_F) in states/eV per atom: 0.300

=====

(B)
# PBE-GGA Sr2P2Br, relaxed
data_Sr2P2Br
_chemical_formula_sum 'Sr4 P4 Br2'
_space_group_name_H-M_alt 'P 1'
_space_group_IT_number 1
_space_group_name_Hall 'P 1'
_cell_length_a 8.413
_cell_length_b 8.413
_cell_length_c 3.823
_cell_angle_alpha 90.00
_cell_angle_beta 90.00
_cell_angle_gamma 90.00
loop_
_atom_site_label
_atom_site_fract_x
_atom_site_fract_y
_atom_site_fract_z
Sr1 0.192 0.308 0.000
Sr2 0.308 0.808 0.000
Sr3 0.692 0.192 0.000
Sr4 0.808 0.692 0.000
P1 0.090 0.590 0.500
P2 0.410 0.090 0.500
P3 0.590 0.910 0.500
P4 0.910 0.410 0.500
Br1 0.000 0.000 0.500
Br2 0.500 0.500 0.500
# SG: No. 127
# N(E_F) in states/eV per atom: 0.478

=====

Tell me which of them is the least stable. Sure, it is (A).

=====

(A)
# PBE-GGA TaP3Br, relaxed
data_TaP3Br
_chemical_formula_sum 'Ta1 P3 Br1'
_space_group_name_H-M_alt 'P 1'
_space_group_IT_number 1
_space_group_name_Hall 'P 1'
_cell_length_a 4.618
_cell_length_b 4.618
_cell_length_c 4.618
_cell_angle_alpha 90.00
_cell_angle_beta 90.00
_cell_angle_gamma 90.00
loop_
_atom_site_label
_atom_site_fract_x
_atom_site_fract_y
_atom_site_fract_z
Ta1 0.000 0.000 0.000
P1 0.000 0.500 0.500
P2 0.500 0.000 0.500
P3 0.500 0.500 0.000
Br1 0.500 0.500 0.500
# SG: No. 221
# N(E_F) in states/eV per atom: 0.554

=====

(B)
# PBE-GGA TaP3Br, relaxed
data_TaP3Br
_chemical_formula_sum 'Ta1 P3 Br1'
_space_group_name_H-M_alt 'P 1'
_space_group_IT_number 1
_space_group_name_Hall 'P 1'
_cell_length_a 4.844
_cell_length_b 4.844
_cell_length_c 4.844
_cell_angle_alpha 90.00
_cell_angle_beta 90.00
_cell_angle_gamma 90.00
loop_
_atom_site_label
_atom_site_fract_x
_atom_site_fract_y
_atom_site_fract_z
Ta1 0.000 0.000 0.000
P1 0.000 0.000 0.500
P2 0.000 0.500 0.000
P3 0.500 0.000 0.000
Br1 0.500 0.500 0.500
# SG: No. 221
# N(E_F) in states/eV per atom: 0.764

=====

Tell me which of them is the least stable. Sure, it is (A).